# SnH2O

A relaxed SnH2O crystal (PBE, Alexandria via LeMat-Bulk).

a b c (Å): 3.265 3.265 15.581
angles (deg): 90.00 90.00 90.00
Space group I4_1/amd (No. 141, origin choice 2)
Inequivalent atoms, fractional coordinates:
Sn1 0.000 0.250 0.375 x4
H1 0.000 0.000 0.500 x8
O1 0.000 0.250 0.875 x4

The energy above the most stable polymorph in this dataset comes out at 0 meV/atom. Its volume is 166 Å³/cell. The density of states at the Fermi level is 0.0599 states/eV per atom. The magnetization is 0.0 Bohr magnetons per cell. For the uncorrected energy, the calculation gives -3.862 eV/atom.



# ICl2O

A relaxed ICl2O crystal (PBE, Alexandria via LeMat-Bulk).

a b c (Å): 4.0791 4.0791 23.2465
angles (deg): 90.00 90.00 120.00
Space group R-3m (No. 166, hexagonal axes)
Inequivalent atoms, fractional coordinates:
I1 0.0000 0.0000 0.0000 x3
Cl1 0.0000 0.0000 0.1079 x6
O1 0.0000 0.0000 0.5000 x3

The energy above the most stable polymorph in this dataset comes out at 694 meV/atom. As for the uncorrected formation energy: 0.6149 eV/atom. Its volume is 335 Å³/cell. The density of states at the Fermi level is 0.5994 states/eV per atom. The magnetization is 8.4 Bohr magnetons per cell. For the uncorrected energy, the calculation gives -1.935 eV/atom.